Entry 1:
PrSm3Tm | PBE-GGA | relaxed

abc: 8.0786 8.0786 6.1933
angles: 90.00 90.00 119.80
Closest atoms and distances in Å follow each position.
Atoms (fractional coordinates):
Pr (0.2018, 0.7982, 0.7500)  4 Sm 3.22-3.23
Pr (0.7982, 0.2018, 0.2500)  4 Sm 3.22-3.23
Sm (0.0000, 0.0000, 0.0000)  6 Sm 3.10-3.20, 2 Pr 3.22
Sm (0.0000, 0.0000, 0.5000)  6 Sm 3.10-3.20, 2 Pr 3.22
Sm (0.2046, 0.4002, 0.7500)  3 Sm 3.20, 1 Pr 3.23
Sm (0.4002, 0.2046, 0.2500)  3 Sm 3.20, 1 Pr 3.23
Sm (0.5998, 0.7954, 0.7500)  3 Sm 3.20, 1 Pr 3.23
Sm (0.7954, 0.5998, 0.2500)  3 Sm 3.20, 1 Pr 3.23
Tm (0.3389, 0.6611, 0.2500)  6 Sm 3.60-3.96, 2 Pr 3.64
Tm (0.6611, 0.3389, 0.7500)  6 Sm 3.60-3.96, 2 Pr 3.64

- Mass density: 7.21 g cm⁻³
- Volume: 350.7 Å³/cell
- Distance to the lowest polymorph of the same formula: 276 meV/atom

Entry 2:
Pr12SmTm2 | PBE-GGA | relaxed

abc: 6.8931 6.8931 25.2006
angles: 90.00 90.00 116.57
Closest atoms and distances in Å follow each position.
Atoms (fractional coordinates):
Pr (0.0019, 0.5019, 0.1321)  8 Pr 3.38-3.77, 1 Sm 3.76
Pr (0.0028, 0.9972, 0.9264)  2 Sm 3.46-3.48, 9 Pr 3.62-3.77
Pr (0.0194, 0.5194, 0.5861)  7 Pr 3.34-3.71
Pr (0.0241, 0.9759, 0.4398)  5 Pr 3.09-3.45
Pr (0.2500, 0.2500, 0.1988)  3 Pr 3.15-3.38
Pr (0.2500, 0.2500, 0.3238)  3 Pr 3.15-3.45
Pr (0.2500, 0.2500, 0.6762)  3 Pr 3.15-3.45
Pr (0.2500, 0.2500, 0.8012)  3 Pr 3.15-3.38
Pr (0.4759, 0.5241, 0.4398)  5 Pr 3.09-3.45
Pr (0.4806, 0.9806, 0.5861)  7 Pr 3.34-3.71
Pr (0.4972, 0.5028, 0.9264)  2 Sm 3.46-3.48, 9 Pr 3.62-3.77
Pr (0.4981, 0.9981, 0.1321)  8 Pr 3.38-3.77, 1 Sm 3.76
Pr (0.5019, 0.0019, 0.8679)  8 Pr 3.38-3.77, 1 Sm 3.76
Pr (0.5028, 0.4972, 0.0736)  2 Sm 3.46-3.48, 9 Pr 3.62-3.77
Pr (0.5194, 0.0194, 0.4139)  7 Pr 3.34-3.71
Pr (0.5241, 0.4759, 0.5602)  5 Pr 3.09-3.45
Pr (0.7500, 0.7500, 0.1988)  3 Pr 3.15-3.38
Pr (0.7500, 0.7500, 0.3238)  3 Pr 3.15-3.45
Pr (0.7500, 0.7500, 0.6762)  3 Pr 3.15-3.45
Pr (0.7500, 0.7500, 0.8012)  3 Pr 3.15-3.38
Pr (0.9759, 0.0241, 0.5602)  5 Pr 3.09-3.45
Pr (0.9806, 0.4806, 0.4139)  7 Pr 3.34-3.71
Pr (0.9972, 0.0028, 0.0736)  2 Sm 3.46-3.48, 9 Pr 3.62-3.77
Pr (0.9981, 0.4981, 0.8679)  8 Pr 3.38-3.77, 1 Sm 3.76
Sm (0.2500, 0.7500, 0.0013)  8 Pr 3.46-3.83, 2 Sm 3.62
Sm (0.7500, 0.2500, 0.9987)  8 Pr 3.46-3.83, 2 Sm 3.62
Tm (0.2500, 0.7500, 0.2705)  2 Tm 3.62, 10 Pr 3.70-3.92
Tm (0.2500, 0.7500, 0.7326)  2 Tm 3.62, 12 Pr 3.73-4.05
Tm (0.7500, 0.2500, 0.2674)  2 Tm 3.62, 12 Pr 3.73-4.05
Tm (0.7500, 0.2500, 0.7295)  2 Tm 3.62, 10 Pr 3.70-3.92

- Mass density: 6.76 g cm⁻³
- Volume: 1070.9 Å³/cell
- DFT total energy: -4.580 eV/atom

Entry 3:
PrSm3Tm4 | PBE-GGA | relaxed

abc: 6.1899 3.5772 11.7333
angles: 90.00 100.19 90.00
Closest atoms and distances in Å follow each position.
Atoms (fractional coordinates):
Pr (0.0000, 0.0000, 0.0000)  6 Tm 3.56, 4 Sm 3.57, 2 Pr 3.58
Sm (0.0000, 0.5000, 0.5000)  6 Tm 3.54, 6 Sm 3.57-3.58
Sm (0.5000, 0.0000, 0.5000)  6 Tm 3.54, 6 Sm 3.57-3.58
Sm (0.5000, 0.5000, 0.0000)  6 Tm 3.56, 4 Pr 3.57, 2 Sm 3.58
Tm (0.2497, 0.0000, 0.7491)  5 Sm 3.54-3.56, 1 Pr 3.56, 6 Tm 3.57-3.58
Tm (0.2509, 0.5000, 0.2511)  4 Sm 3.54-3.56, 2 Pr 3.56, 6 Tm 3.57-3.58
Tm (0.7491, 0.5000, 0.7489)  4 Sm 3.54-3.56, 2 Pr 3.56, 6 Tm 3.57-3.58
Tm (0.7503, 0.0000, 0.2509)  5 Sm 3.54-3.56, 1 Pr 3.56, 6 Tm 3.57-3.58

- Mass density: 8.23 g cm⁻³
- Volume: 255.7 Å³/cell
- Distance to the lowest polymorph of the same formula: 0 meV/atom

Entry 4:
Pr3Sm5Tm3 | PBE-GGA | relaxed

abc: 11.3368 11.3368 3.4642
angles: 90.00 90.00 120.00
Closest atoms and distances in Å follow each position.
Atoms (fractional coordinates):
Pr (0.0000, 0.5970, 0.0000)  2 Tm 3.27, 2 Sm 3.43, 2 Pr 3.46
Pr (0.4030, 0.4030, 0.0000)  2 Tm 3.27, 2 Sm 3.43, 2 Pr 3.46
Pr (0.5970, 0.0000, 0.0000)  2 Tm 3.27, 2 Sm 3.43, 2 Pr 3.46
Sm (0.0000, 0.3361, 0.5000)  2 Tm 3.30, 2 Pr 3.43, 2 Sm 3.46
Sm (0.3333, 0.6667, 0.5000)  5 Sm 3.46-3.76, 6 Pr 3.86
Sm (0.3361, 0.0000, 0.5000)  2 Tm 3.30, 2 Pr 3.43, 2 Sm 3.46
Sm (0.6639, 0.6639, 0.5000)  2 Tm 3.30, 2 Pr 3.43, 2 Sm 3.46
Sm (0.6667, 0.3333, 0.5000)  5 Sm 3.46-3.76, 6 Pr 3.86
Tm (0.0000, 0.8417, 0.5000)  4 Tm 3.11-3.46, 2 Pr 3.27, 2 Sm 3.30
Tm (0.1583, 0.1583, 0.5000)  4 Tm 3.11-3.46, 2 Pr 3.27, 2 Sm 3.30
Tm (0.8417, 0.0000, 0.5000)  4 Tm 3.11-3.46, 2 Pr 3.27, 2 Sm 3.30

- Mass density: 7.24 g cm⁻³
- Volume: 385.6 Å³/cell
- Distance to the lowest polymorph of the same formula: 0 meV/atom

Entry 5:
Pr2SmTm6 | PBE-GGA | relaxed

abc: 9.6853 9.6853 3.5313
angles: 90.00 90.00 120.00
Closest atoms and distances in Å follow each position.
Atoms (fractional coordinates):
Pr (0.3333, 0.6667, 0.2375)  9 Tm 3.37-3.54, 2 Pr 3.53
Pr (0.6667, 0.3333, 0.7625)  9 Tm 3.37-3.54, 2 Pr 3.53
Sm (0.0000, 0.0000, 0.0000)  6 Tm 3.41, 2 Sm 3.53
Tm (0.0219, 0.6734, 0.7299)  3 Pr 3.37-3.54, 1 Sm 3.41, 6 Tm 3.53-3.70
Tm (0.3266, 0.3485, 0.7299)  3 Pr 3.37-3.54, 1 Sm 3.41, 6 Tm 3.53-3.70
Tm (0.3485, 0.0219, 0.2701)  3 Pr 3.37-3.54, 1 Sm 3.41, 6 Tm 3.53-3.70
Tm (0.6515, 0.9781, 0.7299)  3 Pr 3.37-3.54, 1 Sm 3.41, 6 Tm 3.53-3.70
Tm (0.6734, 0.6515, 0.2701)  3 Pr 3.37-3.54, 1 Sm 3.41, 6 Tm 3.53-3.70
Tm (0.9781, 0.3266, 0.2701)  3 Pr 3.37-3.54, 1 Sm 3.41, 6 Tm 3.53-3.70

- Mass density: 8.37 g cm⁻³
- Volume: 286.9 Å³/cell
- Distance to the lowest polymorph of the same formula: 0 meV/atom

Entry 6:
Pr12Sm2Tm5 | PBE-GGA | relaxed

abc: 8.8456 8.8456 9.5319
angles: 109.89 109.89 83.98
Closest atoms and distances in Å follow each position.
Atoms (fractional coordinates):
Pr (0.0291, 0.5474, 0.6915)  4 Pr 3.32-3.67, 2 Tm 3.39-3.59, 1 Sm 3.41
Pr (0.0651, 0.0651, 0.2799)  4 Pr 3.38-3.54, 2 Tm 3.39-3.65, 2 Sm 3.63
Pr (0.1393, 0.6567, 0.0954)  5 Pr 3.44-3.84, 1 Sm 3.47, 4 Tm 3.54-3.76
Pr (0.3433, 0.8607, 0.9046)  5 Pr 3.44-3.84, 1 Sm 3.47, 4 Tm 3.54-3.76
Pr (0.3971, 0.3971, 0.5750)  6 Pr 3.59-3.97, 4 Tm 3.60-3.85, 2 Sm 3.84
Pr (0.4526, 0.9709, 0.3085)  4 Pr 3.32-3.67, 2 Tm 3.39-3.59, 1 Sm 3.41
Pr (0.5474, 0.0291, 0.6915)  4 Pr 3.32-3.67, 2 Tm 3.39-3.59, 1 Sm 3.41
Pr (0.6029, 0.6029, 0.4250)  6 Pr 3.59-3.97, 4 Tm 3.60-3.85, 2 Sm 3.84
Pr (0.6567, 0.1393, 0.0954)  5 Pr 3.44-3.84, 1 Sm 3.47, 4 Tm 3.54-3.76
Pr (0.8607, 0.3433, 0.9046)  5 Pr 3.44-3.84, 1 Sm 3.47, 4 Tm 3.54-3.76
Pr (0.9349, 0.9349, 0.7201)  4 Pr 3.38-3.54, 2 Tm 3.39-3.65, 2 Sm 3.63
Pr (0.9709, 0.4526, 0.3085)  4 Pr 3.32-3.67, 2 Tm 3.39-3.59, 1 Sm 3.41
Sm (0.2136, 0.7864, 0.5000)  6 Pr 3.41-3.63, 2 Tm 3.58
Sm (0.7864, 0.2136, 0.5000)  6 Pr 3.41-3.63, 2 Tm 3.58
Tm (0.1975, 0.1975, 0.7361)  6 Pr 3.39-3.76, 2 Tm 3.48-3.60, 2 Sm 3.58
Tm (0.2806, 0.2806, 0.1395)  2 Tm 3.48-3.69, 9 Pr 3.54-3.85
Tm (0.5000, 0.5000, 0.0000)  4 Tm 3.60-3.69, 6 Pr 3.62-3.64
Tm (0.7194, 0.7194, 0.8605)  2 Tm 3.48-3.69, 9 Pr 3.54-3.85
Tm (0.8025, 0.8025, 0.2639)  6 Pr 3.39-3.76, 2 Tm 3.48-3.60, 2 Sm 3.58

- Mass density: 7.14 g cm⁻³
- Volume: 659.5 Å³/cell
- Distance to the lowest polymorph of the same formula: 13 meV/atom

Entry 7:
PrSm12Tm6 | PBE-GGA | relaxed

abc: 8.5979 8.5979 8.5979
angles: 88.75 88.75 88.75
Closest atoms and distances in Å follow each position.
Atoms (fractional coordinates):
Pr (0.0000, 0.0000, 0.0000)  6 Tm 3.49, 6 Sm 3.59
Sm (0.0152, 0.1990, 0.3621)  4 Sm 3.44-3.61, 4 Tm 3.52-3.67, 1 Pr 3.59
Sm (0.1990, 0.3621, 0.0152)  4 Sm 3.44-3.61, 4 Tm 3.52-3.67, 1 Pr 3.59
Sm (0.2204, 0.4621, 0.5669)  3 Tm 3.31-3.47, 6 Sm 3.32-3.70
Sm (0.3621, 0.0152, 0.1990)  4 Sm 3.44-3.61, 4 Tm 3.52-3.67, 1 Pr 3.59
Sm (0.4331, 0.7796, 0.5379)  3 Tm 3.31-3.47, 6 Sm 3.32-3.70
Sm (0.4621, 0.5669, 0.2204)  3 Tm 3.31-3.47, 6 Sm 3.32-3.70
Sm (0.5379, 0.4331, 0.7796)  3 Tm 3.31-3.47, 6 Sm 3.32-3.70
Sm (0.5669, 0.2204, 0.4621)  3 Tm 3.31-3.47, 6 Sm 3.32-3.70
Sm (0.6379, 0.9848, 0.8010)  4 Sm 3.44-3.61, 4 Tm 3.52-3.67, 1 Pr 3.59
Sm (0.7796, 0.5379, 0.4331)  3 Tm 3.31-3.47, 6 Sm 3.32-3.70
Sm (0.8010, 0.6379, 0.9848)  4 Sm 3.44-3.61, 4 Tm 3.52-3.67, 1 Pr 3.59
Sm (0.9848, 0.8010, 0.6379)  4 Sm 3.44-3.61, 4 Tm 3.52-3.67, 1 Pr 3.59
Tm (0.0991, 0.6976, 0.2583)  7 Sm 3.31-3.67, 1 Pr 3.49, 2 Tm 3.52
Tm (0.2583, 0.0991, 0.6976)  7 Sm 3.31-3.67, 1 Pr 3.49, 2 Tm 3.52
Tm (0.3024, 0.7417, 0.9009)  7 Sm 3.31-3.67, 1 Pr 3.49, 2 Tm 3.52
Tm (0.6976, 0.2583, 0.0991)  7 Sm 3.31-3.67, 1 Pr 3.49, 2 Tm 3.52
Tm (0.7417, 0.9009, 0.3024)  7 Sm 3.31-3.67, 1 Pr 3.49, 2 Tm 3.52
Tm (0.9009, 0.3024, 0.7417)  7 Sm 3.31-3.67, 1 Pr 3.49, 2 Tm 3.52

- Mass density: 7.74 g cm⁻³
- Volume: 635.1 Å³/cell
- Distance to the lowest polymorph of the same formula: 0 meV/atom

Entry 8:
PrSmTm4 | PBE-GGA | relaxed

abc: 6.6287 6.6287 6.6287
angles: 60.00 60.00 60.00
Closest atoms and distances in Å follow each position.
Atoms (fractional coordinates):
Pr (0.0000, 0.0000, 0.0000)  12 Tm 3.89, 4 Sm 4.06
Sm (0.7500, 0.7500, 0.7500)  12 Tm 3.89, 4 Pr 4.06
Tm (0.3753, 0.3753, 0.3753)  6 Tm 3.31-3.32
Tm (0.3753, 0.3753, 0.8742)  6 Tm 3.31-3.32
Tm (0.3753, 0.8742, 0.3753)  6 Tm 3.31-3.32
Tm (0.8742, 0.3753, 0.3753)  6 Tm 3.31-3.32

- Mass density: 7.80 g cm⁻³
- Volume: 206.0 Å³/cell
- Distance to the lowest polymorph of the same formula: 258 meV/atom